No. 1
Compound: Nd4Te2PbSe
Source: Alexandria via LeMat-Bulk
Functional: PBE-GGA
Structure: optimized geometry

## Properties
energy relative to the elements, uncorrected	-1.334	eV per atom

extended XYZ file:
```
8
Lattice="7.689 0.000 0.000 0.000 4.458 0.000 -2.589 0.000 7.344" Properties=species:S:1:pos:R:3 pbc="T T T"
Nd 1.218 0.000 1.694
Nd -0.072 2.229 5.587
Nd 5.172 2.229 1.758
Nd 3.882 0.000 5.650
Te -1.295 0.000 3.672
Te 2.550 2.229 3.672
Pb 3.845 0.000 0.000
Se 0.000 2.229 0.000
```

No. 2
Compound: Nd6TePb2Se3
Source: Alexandria via LeMat-Bulk
Functional: PBE-GGA
Structure: optimized geometry

## Properties
energy relative to the elements, uncorrected	-1.345	eV per atom

extended XYZ file:
```
12
Lattice="9.575 -2.202 0.000 9.575 2.202 0.000 -1.967 0.000 8.588" Properties=species:S:1:pos:R:3 pbc="T T T"
Nd -0.432 0.000 2.018
Nd 5.477 0.000 3.616
Nd 4.652 0.000 7.811
Nd 12.531 0.000 0.778
Nd 11.706 0.000 4.972
Nd 17.615 0.000 6.571
Te 8.592 0.000 4.294
Pb 1.549 0.000 7.150
Pb 15.634 0.000 1.438
Se 2.513 0.000 2.874
Se 9.575 0.000 0.000
Se 14.670 0.000 5.714
```

No. 3
Compound: Nd4TePbSe2
Source: Alexandria via LeMat-Bulk
Functional: PBE-GGA
Structure: optimized geometry

## Properties
energy relative to the elements, uncorrected	-1.426	eV per atom

extended XYZ file:
```
8
Lattice="7.607 0.000 0.000 0.000 4.388 0.000 -2.532 0.000 7.180" Properties=species:S:1:pos:R:3 pbc="T T T"
Nd 1.148 0.000 1.710
Nd -0.110 2.194 5.365
Nd 5.185 2.194 1.815
Nd 3.927 0.000 5.469
Te 2.537 2.194 3.590
Pb 3.803 0.000 0.000
Se -1.266 0.000 3.590
Se 0.000 2.194 0.000
```

Number 1: mass density 7.4 Mg/m³, raw total energy -43.22 eV for the cell shown. Number 2: mass density 7.5 Mg/m³, raw total energy -65.75 eV for the cell shown. Number 3: mass density 7.4 Mg/m³, raw total energy -44.30 eV for the cell shown.